# 1
## LiNbNiPd (GGA-PBE)

Data for crystalline LiNbNiPd at its relaxed geometry.

Properties
Space group: F-43m (216)
Size of the total moment, μB per formula unit: 0.00
ΔE_f, eV per atom: -0.1224

Cell lengths 4.3409, 4.3409, 4.3409 Å; angles 60.00, 60.00, 60.00 degrees
With the nearest neighbours (Å) after each atom.
Positions (direct):
Li (0.0000, 0.0000, 0.0000)  4 Ni 2.66, 4 Pd 2.66
Nb (0.5000, 0.5000, 0.5000)  4 Ni 2.66, 4 Pd 2.66
Ni (0.7500, 0.7500, 0.7500)  4 Nb 2.66, 4 Li 2.66
Pd (0.2500, 0.2500, 0.2500)  4 Nb 2.66, 4 Li 2.66

# 2
## LiNbNiRh (GGA-PBE)

Data for crystalline LiNbNiRh at its relaxed geometry.

Properties
Space group: F-43m (216)
Size of the total moment, μB per formula unit: 0.00
ΔE_f, eV per atom: -0.2223

Cell lengths 4.2929, 4.2929, 4.2929 Å; angles 60.00, 60.00, 60.00 degrees
With the nearest neighbours (Å) after each atom.
Positions (direct):
Li (0.0000, 0.0000, 0.0000)  4 Rh 2.63, 4 Ni 2.63
Nb (0.5000, 0.5000, 0.5000)  4 Rh 2.63, 4 Ni 2.63
Ni (0.2500, 0.2500, 0.2500)  4 Nb 2.63, 4 Li 2.63
Rh (0.7500, 0.7500, 0.7500)  4 Nb 2.63, 4 Li 2.63

# 3
## Li3Nb3NiS8 (GGA-PBE)

Data for crystalline Li3Nb3NiS8 at its relaxed geometry.

Properties
Space group: R-3m (166)
Size of the total moment, μB per formula unit: 1.54
Energy relative to the elements, uncorrected, eV per atom: -0.957

Cell lengths 7.4772, 7.4772, 7.4772 Å; angles 54.87, 54.87, 54.87 degrees
With the nearest neighbours (Å) after each atom.
Positions (direct):
Li (0.0000, 0.5000, 0.5000)  6 S 2.56-2.59
Li (0.5000, 0.0000, 0.5000)  6 S 2.56-2.59
Li (0.5000, 0.5000, 0.0000)  6 S 2.56-2.59
Nb (0.0000, 0.0000, 0.5000)  6 S 2.50-2.53
Nb (0.0000, 0.5000, 0.0000)  6 S 2.50-2.53
Nb (0.5000, 0.0000, 0.0000)  6 S 2.50-2.53
Ni (0.5000, 0.5000, 0.5000)  6 S 2.42
S (0.2487, 0.2487, 0.2487)  3 Nb 2.53, 3 Li 2.56
S (0.2544, 0.7386, 0.7386)  1 Ni 2.42, 2 Nb 2.50, 2 Li 2.59
S (0.2614, 0.2614, 0.7456)  1 Ni 2.42, 2 Nb 2.50, 2 Li 2.59
S (0.2614, 0.7456, 0.2614)  1 Ni 2.42, 2 Nb 2.50, 2 Li 2.59
S (0.7386, 0.2544, 0.7386)  1 Ni 2.42, 2 Nb 2.50, 2 Li 2.59
S (0.7386, 0.7386, 0.2544)  1 Ni 2.42, 2 Nb 2.50, 2 Li 2.59
S (0.7456, 0.2614, 0.2614)  1 Ni 2.42, 2 Nb 2.50, 2 Li 2.59
S (0.7513, 0.7513, 0.7513)  3 Nb 2.53, 3 Li 2.56

# 4
## Li2Nb2NiSe6 (GGA-PBE)

Data for crystalline Li2Nb2NiSe6 at its relaxed geometry.

Properties
Space group: C2/m (12)
Size of the total moment, μB per formula unit: 1.97
Energy relative to the elements, uncorrected, eV per atom: -0.737

Cell lengths 6.3316, 6.3316, 6.8441 Å; angles 97.36, 97.36, 120.94 degrees
With the nearest neighbours (Å) after each atom.
Positions (direct):
Li (0.1868, 0.8132, 0.0000)  6 Se 2.65-2.82
Li (0.8132, 0.1868, 0.0000)  6 Se 2.65-2.82
Nb (0.3640, 0.6360, 0.5000)  6 Se 2.55-2.76
Nb (0.6360, 0.3640, 0.5000)  6 Se 2.55-2.76
Ni (0.0000, 0.0000, 0.5000)  6 Se 2.55-2.62
Se (0.0503, 0.3884, 0.7169)  1 Ni 2.55, 2 Nb 2.60-2.76, 2 Li 2.65-2.75
Se (0.2431, 0.2431, 0.2395)  2 Nb 2.55, 1 Ni 2.62, 2 Li 2.82
Se (0.3884, 0.0503, 0.7169)  1 Ni 2.55, 2 Nb 2.60-2.76, 2 Li 2.65-2.75
Se (0.6116, 0.9497, 0.2831)  1 Ni 2.55, 2 Nb 2.60-2.76, 2 Li 2.65-2.75
Se (0.7569, 0.7569, 0.7605)  2 Nb 2.55, 1 Ni 2.62, 2 Li 2.82
Se (0.9497, 0.6116, 0.2831)  1 Ni 2.55, 2 Nb 2.60-2.76, 2 Li 2.65-2.75

# 5
## LiNbSiNi2 (GGA-PBE)

Data for crystalline LiNbSiNi2 at its relaxed geometry.

Properties
Space group: P4/mmm (123)
Size of the total moment, μB per formula unit: 1.13
Energy relative to the elements, uncorrected, eV per atom: 1.412

Cell lengths 4.5027, 4.5027, 4.8221 Å; angles 90.00, 90.00, 90.00 degrees
With the nearest neighbours (Å) after each atom.
Positions (direct):
Li (0.0000, 0.0000, 0.0000)  2 Nb 2.41
Nb (0.0000, 0.0000, 0.5000)  4 Ni 2.25, 2 Li 2.41
Si (0.5000, 0.5000, 0.0000)  4 Li 3.18, 8 Ni 3.30
Ni (0.0000, 0.5000, 0.5000)  2 Nb 2.25
Ni (0.5000, 0.0000, 0.5000)  2 Nb 2.25

# 6
## LiNbNiSn2 (GGA-PBE)

Data for crystalline LiNbNiSn2 at its relaxed geometry.

Properties
Space group: P4/mmm (123)
Size of the total moment, μB per formula unit: 0.00
ΔE_f, eV per atom: 0.5400

Cell lengths 5.3987, 5.3987, 4.6344 Å; angles 90.00, 90.00, 90.00 degrees
With the nearest neighbours (Å) after each atom.
Positions (direct):
Li (0.0000, 0.0000, 0.0000)  8 Sn 3.56, 4 Ni 3.82
Nb (0.5000, 0.5000, 0.5000)  2 Ni 2.32
Ni (0.5000, 0.5000, 0.0000)  2 Nb 2.32
Sn (0.0000, 0.5000, 0.5000)  2 Nb 2.70
Sn (0.5000, 0.0000, 0.5000)  2 Nb 2.70

| no. | ρ (Mg/m³) | E (eV/atom) |
| --- | --- | --- |
| 1 | 7.61 | -5.86 |
| 2 | 7.76 | -6.50 |
| 3 | 3.92 | -5.94 |
| 4 | 5.35 | -5.34 |
| 5 | 4.17 | -4.38 |
| 6 | 4.87 | -4.61 |